Entry 1:
Below is an optimized crystal structure of Pr3As2S, with properties calculated at the PBE level.

Output
Space-group type   P-3m1 (164)
Total energy   -38.0 eV for the cell shown
Magnetic moment   0.002 Bohr magnetons per cell

a b c (Å): 4.2551 4.2551 10.3758
angles (deg): 90.00 90.00 120.00
Sites, in units of the cell vectors:
As 0.6667 0.3333 0.1710
S 0.0000 0.0000 0.5000
Pr 0.3333 0.6667 0.3338
As 0.3333 0.6667 0.8290
Pr 0.6667 0.3333 0.6662
Pr 0.0000 0.0000 0.0000


Entry 2:
Below is an optimized crystal structure of PrAs3S6, with properties calculated at the PBE level.

Output
Space-group type   P2_1/m (11)
Total energy   -98.5 eV for the cell shown
Magnetic moment   0.007 Bohr magnetons per cell

a b c (Å): 11.4955 3.7343 11.5699
angles (deg): 90.00 108.36 90.00
Sites, in units of the cell vectors:
S 0.3654 0.7500 0.0506
As 0.1129 0.2500 0.6428
S 0.8941 0.7500 0.5591
Pr 0.6921 0.2500 0.5379
As 0.8871 0.7500 0.3572
As 0.8404 0.2500 0.9505
S 0.2532 0.7500 0.7017
S 0.7371 0.7500 0.7446
S 0.1059 0.2500 0.4409
S 0.7468 0.2500 0.2983
S 0.5254 0.7500 0.3809
Pr 0.3079 0.7500 0.4621
S 0.9050 0.7500 0.0881
S 0.0950 0.2500 0.9119
As 0.1596 0.7500 0.0495
As 0.4404 0.2500 0.2054
S 0.2629 0.2500 0.2554
S 0.4746 0.2500 0.6191
As 0.5596 0.7500 0.7946
S 0.6346 0.2500 0.9494


Number 1: volume 162.7 Å³/cell. Number 2: volume 471.4 Å³/cell.